Density functional theory data (PBE) for a relaxed KZn2Rh2 crystal.

```
data_KZn2Rh2
_chemical_formula_sum 'K2 Zn4 Rh4'
_cell_length_a 4.5216
_cell_length_b 4.5216
_cell_length_c 9.7169
_cell_angle_alpha 90.00
_cell_angle_beta 90.00
_cell_angle_gamma 90.00
_space_group_name_H-M_alt 'I 4/m m m'
_space_group_IT_number 139
_space_group_name_Hall '-I 4 2'
loop_
_atom_site_label
_atom_site_fract_x
_atom_site_fract_y
_atom_site_fract_z
K1 0.0000 0.0000 0.0000
Zn1 0.0000 0.5000 0.2500
Rh1 0.0000 0.0000 0.3716
```

Calculated values
Energy of formation   0.102 eV per atom
Energy above the most stable polymorph in this dataset   87 meV per atom
Crystal system   tetragonal
Density of states at the Fermi level   5.68 states/eV/cell